Entry from the Alexandria database: an optimized crystal structure of Na3BiIr (GGA-PBEsol). Values from VASP.

The structure in Quantum ESPRESSO input format:
```
&SYSTEM
  ibrav = 0, nat = 5, ntyp = 3
/
ATOMIC_SPECIES
Na 22.99 Na.upf
Bi 208.98 Bi.upf
Ir 192.22 Ir.upf
CELL_PARAMETERS angstrom
5.2923 0.0000 0.0000
0.0000 5.2923 0.0000
0.0000 0.0000 5.2923
ATOMIC_POSITIONS crystal
Na 0.0000 0.0000 0.5000
Na 0.0000 0.5000 0.0000
Na 0.5000 0.0000 0.0000
Bi 0.5000 0.5000 0.5000
Ir 0.0000 0.0000 0.0000
```

**SG**: Pm-3m (221)
**E_form**: 0.88 eV/atom
**Total magnetization**: 0.002 μB/cell